Sc3RuRh | GGA-PBE | optimized geometry

Values from the calculation:
* DOS at the Fermi energy: 0.91 states/eV per atom
* formation enthalpy at 0 K: 0.175 eV/atom
* E above lowest polymorph: 116.9 meV/atom

Geometry as POSCAR:
```
Sc3RuRh
1.0
4.8538 0.0000 0.0000
0.0000 4.8538 0.0000
0.0000 0.0000 4.8538
Ru Sc Rh
1 3 1
direct
0.5000 0.5000 0.5000
0.5000 0.0000 0.0000
0.0000 0.0000 0.5000
0.0000 0.5000 0.0000
0.0000 0.0000 0.0000
```

---

PaInNiS3 | GGA-PBE | optimized geometry

Values from the calculation:
* DOS at the Fermi energy: 0.00 states/eV per atom
* formation energy from raw total energies: -1.066 eV per atom

Geometry as POSCAR:
```
PaInNiS3
1.0
3.8688 0.0000 0.0000
-1.9344 7.1045 0.0000
0.0000 0.0000 10.0656
Ni S Pa In
2 6 2 2
direct
0.5290 0.0579 0.2500
0.4710 0.9421 0.7500
0.6229 0.2458 0.0677
0.3771 0.7542 0.5677
0.3771 0.7542 0.9323
0.6229 0.2458 0.4323
0.0610 0.1220 0.7500
0.9390 0.8780 0.2500
0.0000 0.0000 0.5000
0.0000 0.0000 0.0000
0.2516 0.5031 0.2500
0.7484 0.4969 0.7500
```

---

Rb14Hf2S9 | GGA-PBE | optimized geometry

Values from the calculation:
* DOS at the Fermi energy: 0.25 states/eV per atom
* formation energy from raw total energies: -1.037 eV per atom

Geometry as POSCAR:
```
Rb14Hf2S9
1.0
-5.1191 -4.5061 6.7305
9.0469 -2.6505 -1.7140
4.1715 8.5048 8.8668
Rb S Hf
14 9 2
direct
0.3219 0.3681 0.9070
0.9112 0.6069 0.4020
0.0462 0.6781 0.9070
0.6319 0.9538 0.9070
0.6069 0.6957 0.5980
0.3931 0.3043 0.4020
0.9538 0.3219 0.0930
0.3043 0.9112 0.5980
0.3681 0.0462 0.0930
0.6957 0.0888 0.4020
0.0000 0.0000 0.7445
0.0888 0.3931 0.5980
0.0000 0.0000 0.2555
0.6781 0.6319 0.0930
0.2931 0.8821 0.3327
0.7069 0.1179 0.6673
0.5891 0.7069 0.3327
0.0000 0.0000 0.0000
0.1179 0.4109 0.3327
0.6667 0.3333 0.9157
0.3333 0.6667 0.0843
0.8821 0.5891 0.6673
0.4109 0.2931 0.6673
0.3333 0.6667 0.2708
0.6667 0.3333 0.7292
```

---

SmPuAgIr | GGA-PBE | optimized geometry

Values from the calculation:
* DOS at the Fermi energy: 2.88 states/eV per atom
* formation enthalpy at 0 K: -0.306 eV/atom

Geometry as POSCAR:
```
SmPuAgIr
1.0
-0.1692 0.6997 -4.9853
3.2264 -2.4451 -2.9973
-1.6551 -3.6873 -3.0060
Pu Sm Ag Ir
1 1 1 1
direct
0.5000 0.5000 0.5000
0.0000 0.0000 0.0000
0.2500 0.2500 0.2500
0.7500 0.7500 0.7500
```

---

Nb2ReO | GGA-PBE | optimized geometry

Values from the calculation:
* DOS at the Fermi energy: 1.49 states/eV per atom
* formation energy from raw total energies: -0.386 eV per atom

Geometry as POSCAR:
```
Nb2ReO
1.0
-3.4895 4.7796 1.6847
-1.8670 -3.1140 4.9676
-0.1094 2.0901 5.0797
O Nb Re
2 4 2
direct
0.2500 0.7500 0.5000
0.5000 0.5000 0.0000
0.3750 0.4468 0.7500
0.8750 0.8032 0.7500
0.1968 0.6250 0.2500
0.5532 0.1250 0.2500
0.7500 0.2500 0.5000
0.0000 0.0000 0.0000
```

---

ScZn4Pt | GGA-PBE | optimized geometry

Values from the calculation:
* DOS at the Fermi energy: 0.49 states/eV per atom
* formation enthalpy at 0 K: -0.462 eV/atom
* E above lowest polymorph: 0.0 meV/atom

Geometry as POSCAR:
```
ScZn4Pt
1.0
4.3629 -0.0177 -0.0170
-2.1667 3.7823 -0.1837
0.0230 0.2869 5.7130
Sc Zn Pt
1 4 1
direct
0.0040 0.4994 0.4983
0.6705 0.8325 0.2311
0.6708 0.8330 0.7650
0.3375 0.1664 0.7650
0.3372 0.1658 0.2311
0.0040 0.4995 0.9984
```

---

Which of these has the lowest DOS at the Fermi energy?
PaInNiS3